# BaTl7Pb2 | Alexandria | GGA-PBE | relaxed
data_BaTl7Pb2
_chemical_formula_sum 'Ba2 Tl14 Pb4'
_symmetry_space_group_name_H-M 'C m m m'
_symmetry_Int_Tables_number 65
_symmetry_space_group_name_Hall '-C 2 2'
_cell_length_a 6.3771
_cell_length_b 28.8065
_cell_length_c 3.5768
_cell_angle_alpha 90.00
_cell_angle_beta 90.00
_cell_angle_gamma 90.00
loop_
_atom_site_label
_atom_site_type_symbol
_atom_site_fract_x
_atom_site_fract_y
_atom_site_fract_z
Ba1 Ba 0.0000 0.0000 0.0000
Tl1 Tl 0.0000 0.1959 0.0000
Tl2 Tl 0.0000 0.5000 0.5000
Tl3 Tl 0.2486 0.1021 0.5000
Pb1 Pb 0.0000 0.2990 0.5000
# E: -52.39 eV per cell
# calculated density: 10.02 g cm⁻³
# V: 328.5 Å³/f.u.
# ΔE_f: -0.0292 eV/atom